No. 1
First-principles (PBE) data for a relaxed structure of Na3ScN, as listed in the Alexandria database.

Properties
V = 44.0 Å³ per atom
energy relative to the lowest polymorph listed for this composition = 1287 meV per atom
energy relative to the elements, uncorrected = 962 kJ/mol of formula units

a b c (Å): 6.036 6.036 6.036
angles (deg): 90.00 90.00 90.00
Atoms (fractional coordinates):
N1 0.500 0.500 0.500
Na1 0.500 0.000 0.000
Na2 0.000 0.500 0.000
Na3 0.000 0.000 0.500
Sc1 0.000 0.000 0.000


No. 2
First-principles (PBE) data for a relaxed structure of NaScN2, as listed in the Alexandria database.

Properties
V = 17.7 Å³ per atom
energy relative to the lowest polymorph listed for this composition = 72 meV per atom
energy relative to the elements, uncorrected = 4 kJ/mol of formula units

a b c (Å): 4.730 4.730 7.167
angles (deg): 70.73 70.73 90.00
Atoms (fractional coordinates):
N1 0.875 0.008 0.750
N2 0.375 0.242 0.750
N3 0.992 0.625 0.250
N4 0.758 0.125 0.250
Sc1 0.750 0.250 0.500
Sc2 0.000 0.000 0.000
Na1 0.500 0.500 0.000
Na2 0.250 0.750 0.500


No. 3
First-principles (PBE) data for a relaxed structure of NaScN2, as listed in the Alexandria database.

Properties
V = 11.0 Å³ per atom
energy relative to the lowest polymorph listed for this composition = 144 meV per atom
energy relative to the elements, uncorrected = 32 kJ/mol of formula units

a b c (Å): 3.958 3.958 3.958
angles (deg): 60.00 60.00 60.00
Atoms (fractional coordinates):
N1 0.250 0.250 0.250
N2 0.750 0.750 0.750
Na1 0.000 0.000 0.000
Sc1 0.500 0.500 0.500


No. 4
First-principles (PBE) data for a relaxed structure of NaScN2, as listed in the Alexandria database.

Properties
V = 19.8 Å³ per atom
energy relative to the lowest polymorph listed for this composition = 972 meV per atom
energy relative to the elements, uncorrected = 351 kJ/mol of formula units

a b c (Å): 6.403 6.403 6.403
angles (deg): 35.49 35.49 35.49
Atoms (fractional coordinates):
N1 0.900 0.900 0.900
N2 0.100 0.100 0.100
Sc1 0.000 0.000 0.000
Na1 0.500 0.500 0.500


No. 5
First-principles (PBE) data for a relaxed structure of NaScN2, as listed in the Alexandria database.

Properties
V = 16.0 Å³ per atom
energy relative to the lowest polymorph listed for this composition = 0 meV per atom
energy relative to the elements, uncorrected = -24 kJ/mol of formula units

a b c (Å): 6.828 6.828 6.828
angles (deg): 28.46 28.46 28.46
Atoms (fractional coordinates):
Na1 0.000 0.000 0.000
Sc1 0.500 0.500 0.500
N1 0.114 0.114 0.114
N2 0.886 0.886 0.886


No. 6
First-principles (PBE) data for a relaxed structure of NaScSe2N, as listed in the Alexandria database.

Properties
V = 21.7 Å³ per atom
energy relative to the lowest polymorph listed for this composition = 924 meV per atom
energy relative to the elements, uncorrected = 278 kJ/mol of formula units

a b c (Å): 5.136 5.136 4.119
angles (deg): 90.00 90.00 90.00
Atoms (fractional coordinates):
Se1 0.000 0.500 0.000
Se2 0.500 0.000 0.000
N1 0.000 0.000 0.500
Sc1 0.500 0.500 0.500
Na1 0.000 0.000 0.000


No. 7
First-principles (PBE) data for a relaxed structure of NaSc2SeN, as listed in the Alexandria database.

Properties
V = 21.1 Å³ per atom
energy relative to the elements, uncorrected = -279 kJ/mol of formula units

a b c (Å): 4.261 5.810 4.261
angles (deg): 90.00 90.00 90.00
Atoms (fractional coordinates):
N1 0.000 0.000 0.000
Sc1 0.000 0.000 0.500
Sc2 0.500 0.000 0.000
Na1 0.500 0.500 0.500
Se1 0.000 0.500 0.000


No. 8
First-principles (PBE) data for a relaxed structure of NaScSe2N, as listed in the Alexandria database.

Properties
V = 23.8 Å³ per atom
energy relative to the lowest polymorph listed for this composition = 0 meV per atom
energy relative to the elements, uncorrected = -168 kJ/mol of formula units

a b c (Å): 5.281 5.281 4.266
angles (deg): 90.00 90.00 90.00
Atoms (fractional coordinates):
N1 0.000 0.000 0.500
Se1 0.500 0.000 0.000
Se2 0.000 0.500 0.000
Na1 0.500 0.500 0.500
Sc1 0.000 0.000 0.000


No. 9
First-principles (PBE) data for a relaxed structure of NaSc2SnN, as listed in the Alexandria database.

Properties
V = 18.3 Å³ per atom
energy relative to the elements, uncorrected = -406 kJ/mol of formula units

a b c (Å): 4.445 4.445 4.634
angles (deg): 90.00 90.00 90.00
Atoms (fractional coordinates):
Sc1 0.500 0.000 0.000
Sc2 0.000 0.500 0.000
Na1 0.000 0.000 0.500
N1 0.000 0.000 0.000
Sn1 0.500 0.500 0.500


No. 10
First-principles (PBE) data for a relaxed structure of NaSc2Ta3N6, as listed in the Alexandria database.

Properties
V = 11.1 Å³ per atom
energy relative to the elements, uncorrected = -1521 kJ/mol of formula units

a b c (Å): 3.120 6.373 7.116
angles (deg): 104.83 102.66 90.00
Atoms (fractional coordinates):
N1 0.325 0.927 0.650
N2 0.333 0.415 0.665
N3 0.675 0.073 0.350
N4 0.667 0.585 0.335
N5 0.997 0.265 0.995
N6 0.003 0.735 0.005
Na1 0.500 0.000 0.000
Ta1 0.160 0.822 0.321
Ta2 0.840 0.178 0.679
Ta3 0.500 0.500 0.000
Sc1 0.162 0.328 0.324
Sc2 0.838 0.672 0.676


No. 11
First-principles (PBE) data for a relaxed structure of NaScTiN2, as listed in the Alexandria database.

Properties
V = 17.8 Å³ per atom
energy relative to the elements, uncorrected = 553 kJ/mol of formula units

a b c (Å): 4.294 4.836 4.294
angles (deg): 90.00 90.00 90.00
Atoms (fractional coordinates):
N1 0.000 0.000 0.500
N2 0.500 0.000 0.000
Na1 0.500 0.500 0.500
Sc1 0.000 0.000 0.000
Ti1 0.000 0.500 0.000


No. 12
First-principles (PBE) data for a relaxed structure of NaSc2TlN, as listed in the Alexandria database.

Properties
V = 18.9 Å³ per atom
energy relative to the elements, uncorrected = -309 kJ/mol of formula units

a b c (Å): 4.404 4.404 4.873
angles (deg): 90.00 90.00 90.00
Atoms (fractional coordinates):
N1 0.000 0.000 0.000
Sc1 0.500 0.000 0.000
Sc2 0.000 0.500 0.000
Na1 0.000 0.000 0.500
Tl1 0.500 0.500 0.500


No. 13
First-principles (PBE) data for a relaxed structure of Na3ScU2N6, as listed in the Alexandria database.

Properties
V = 14.3 Å³ per atom
energy relative to the elements, uncorrected = -1279 kJ/mol of formula units

a b c (Å): 5.917 5.917 5.984
angles (deg): 99.48 99.48 120.02
Atoms (fractional coordinates):
Na1 0.500 0.500 0.500
Na2 0.162 0.838 0.500
Na3 0.838 0.162 0.500
U1 0.333 0.667 0.000
U2 0.667 0.333 0.000
Sc1 0.000 0.000 0.000
N1 0.285 0.285 0.815
N2 0.062 0.408 0.184
N3 0.715 0.715 0.185
N4 0.938 0.592 0.816
N5 0.592 0.938 0.816
N6 0.408 0.062 0.184


No. 14
First-principles (PBE) data for a relaxed structure of Na4ScU3N8, as listed in the Alexandria database.

Properties
V = 14.5 Å³ per atom
energy relative to the elements, uncorrected = -1674 kJ/mol of formula units

a b c (Å): 6.887 6.913 6.887
angles (deg): 119.88 120.00 90.00
Atoms (fractional coordinates):
N1 0.729 0.687 0.458
N2 0.271 0.313 0.542
N3 0.766 0.318 0.532
N4 0.286 0.318 0.052
N5 0.714 0.682 0.948
N6 0.766 0.318 0.052
N7 0.234 0.682 0.468
N8 0.234 0.682 0.948
Na1 0.000 0.000 0.000
Na2 0.000 0.000 0.500
Na3 0.500 0.000 0.000
Na4 0.500 0.000 0.500
U1 0.500 0.500 0.000
U2 0.500 0.500 0.500
U3 0.000 0.500 0.500
Sc1 0.000 0.500 0.000


No. 15
First-principles (PBE) data for a relaxed structure of Na3ScU3N8, as listed in the Alexandria database.

Properties
V = 15.4 Å³ per atom
energy relative to the elements, uncorrected = -1543 kJ/mol of formula units

a b c (Å): 6.875 6.875 6.915
angles (deg): 119.83 90.00 120.00
Atoms (fractional coordinates):
Na1 0.000 0.000 0.000
Na2 0.000 0.500 0.000
Na3 0.500 0.500 0.000
N1 0.710 0.940 0.670
N2 0.230 0.940 0.670
N3 0.230 0.460 0.670
N4 0.290 0.060 0.330
N5 0.770 0.540 0.330
N6 0.271 0.541 0.312
N7 0.770 0.060 0.330
N8 0.729 0.459 0.688
Sc1 0.000 0.000 0.500
U1 0.000 0.500 0.500
U2 0.500 0.500 0.500
U3 0.500 0.000 0.500


No. 16
First-principles (PBE) data for a relaxed structure of NaSe2N, as listed in the Alexandria database.

Properties
V = 20.8 Å³ per atom
energy relative to the elements, uncorrected = 345 kJ/mol of formula units

a b c (Å): 8.416 8.416 8.416
angles (deg): 23.51 23.51 23.51
Atoms (fractional coordinates):
N1 0.500 0.500 0.500
Na1 0.000 0.000 0.000
Se1 0.113 0.113 0.113
Se2 0.887 0.887 0.887


No. 17
First-principles (PBE) data for a relaxed structure of NaSe2N2, as listed in the Alexandria database.

Properties
V = 28.5 Å³ per atom
energy relative to the lowest polymorph listed for this composition = 1912 meV per atom
energy relative to the elements, uncorrected = 1131 kJ/mol of formula units

a b c (Å): 5.527 5.527 4.668
angles (deg): 90.00 90.00 90.00
Atoms (fractional coordinates):
N1 0.500 0.500 0.500
N2 0.000 0.000 0.500
Se1 0.000 0.500 0.000
Se2 0.500 0.000 0.000
Na1 0.000 0.000 0.000


No. 18
First-principles (PBE) data for a relaxed structure of Na2SeN, as listed in the Alexandria database.

Properties
V = 20.2 Å³ per atom
energy relative to the lowest polymorph listed for this composition = 229 meV per atom
energy relative to the elements, uncorrected = 138 kJ/mol of formula units

a b c (Å): 4.856 4.856 4.856
angles (deg): 60.00 60.00 60.00
Atoms (fractional coordinates):
Na1 0.750 0.750 0.750
Na2 0.250 0.250 0.250
N1 0.000 0.000 0.000
Se1 0.500 0.500 0.500


No. 19
First-principles (PBE) data for a relaxed structure of Na2SeN, as listed in the Alexandria database.

Properties
V = 24.0 Å³ per atom
energy relative to the lowest polymorph listed for this composition = 0 meV per atom
energy relative to the elements, uncorrected = 49 kJ/mol of formula units

a b c (Å): 9.456 9.456 7.022
angles (deg): 47.68 47.68 90.00
Atoms (fractional coordinates):
Na1 0.875 0.632 0.750
Na2 0.375 0.618 0.750
Na3 0.368 0.625 0.250
Na4 0.382 0.125 0.250
N1 0.500 0.500 0.000
N2 0.250 0.750 0.500
Se1 0.750 0.250 0.500
Se2 0.000 0.000 0.000


No. 20
First-principles (PBE) data for a relaxed structure of NaSeN3, as listed in the Alexandria database.

Properties
V = 11.0 Å³ per atom
energy relative to the elements, uncorrected = 795 kJ/mol of formula units

a b c (Å): 3.806 3.806 3.806
angles (deg): 90.00 90.00 90.00
Atoms (fractional coordinates):
Na1 0.500 0.500 0.500
Se1 0.000 0.000 0.000
N1 0.500 0.000 0.000
N2 0.000 0.000 0.500
N3 0.000 0.500 0.000